VASP calculation (PBE) on Pr3Si after structural relaxation.

Cell: 4.828 4.828 4.828 Å, 90.00 90.00 90.00°
Positions (direct):
Pr1 0.000 0.000 0.500
Pr2 0.000 0.500 0.000
Pr3 0.500 0.000 0.000
Si1 0.500 0.500 0.500

The value obtained for the distance to the lowest polymorph of the same formula is 121 meV per atom. The space group is No. 221. The energy relative to the elements, uncorrected comes out at -0.24 eV/atom.

VASP calculation (PBE) on SmSc3 after structural relaxation.

Cell: 3.412 5.316 5.902 Å, 90.00 90.00 90.00°
Positions (direct):
Sm1 0.000 0.000 0.000
Sc1 0.000 0.500 0.660
Sc2 0.500 0.000 0.495
Sc3 0.500 0.500 0.173

The value obtained for the distance to the lowest polymorph of the same formula is 0 meV per atom. The space group is No. 25. The formation energy is 1.046 kcal/mol of atoms.

VASP calculation (PBE) on CsZn3As2 after structural relaxation.

Cell: 8.417 8.417 10.413 Å, 117.09 117.09 28.68°
Positions (direct):
Cs1 0.138 0.138 0.049
Cs2 0.862 0.862 0.951
Zn1 0.095 0.095 0.414
Zn2 0.280 0.280 0.591
Zn3 0.421 0.421 0.326
Zn4 0.579 0.579 0.674
Zn5 0.720 0.720 0.409
Zn6 0.905 0.905 0.586
As1 0.162 0.162 0.690
As2 0.453 0.453 0.746
As3 0.547 0.547 0.254
As4 0.838 0.838 0.310

The space group is No. 12. The formation energy is -6.030 kcal/mol of atoms.

VASP calculation (PBE) on In2ReW after structural relaxation.

Cell: 2.907 2.907 9.418 Å, 90.00 90.00 113.94°
Positions (direct):
In1 0.000 0.000 0.247
In2 0.000 0.000 0.753
Re1 0.500 0.500 0.000
W1 0.500 0.500 0.500

The value obtained for the distance to the lowest polymorph of the same formula is 488 meV per atom. The space group is No. 65. The formation energy is 17.325 kcal/mol of atoms.

VASP calculation (PBE) on NaGeBi2 after structural relaxation.

Cell: 4.045 4.045 6.888 Å, 90.00 90.00 90.00°
Positions (direct):
Na1 0.000 0.000 0.000
Ge1 0.000 0.000 0.500
Bi1 0.500 0.500 0.276
Bi2 0.500 0.500 0.724

The space group is No. 123. The formation energy is 0.203 kcal/mol of atoms.

VASP calculation (PBE) on Al2PbAu after structural relaxation.

Cell: 5.689 5.689 5.689 Å, 145.52 121.13 70.04°
Positions (direct):
Al1 0.219 0.219 0.000
Al2 0.781 0.781 0.000
Pb1 0.500 0.000 0.500
Au1 0.000 0.500 0.500

The space group is No. 71. The formation energy is 2.074 kcal/mol of atoms.

VASP calculation (PBE) on Mg2Zr2Hg after structural relaxation.

Cell: 8.701 8.701 3.245 Å, 100.53 100.53 71.99°
Positions (direct):
Mg1 0.011 0.760 0.630
Mg2 0.240 0.989 0.870
Mg3 0.760 0.011 0.130
Mg4 0.989 0.240 0.370
Zr1 0.183 0.432 0.059
Zr2 0.432 0.183 0.559
Zr3 0.568 0.817 0.441
Zr4 0.817 0.568 0.941
Hg1 0.370 0.630 0.750
Hg2 0.630 0.370 0.250

The value obtained for the distance to the lowest polymorph of the same formula is 0 meV per atom. The space group is No. 15. The formation energy is -0.525 kcal/mol of atoms.

VASP calculation (PBE) on MnAg2Os after structural relaxation.

Cell: 4.809 4.809 5.070 Å, 100.00 100.00 33.51°
Positions (direct):
Mn1 0.000 0.000 0.000
Ag1 0.513 0.513 0.525
Ag2 0.755 0.755 0.291
Os1 0.270 0.270 0.811

The value obtained for the distance to the lowest polymorph of the same formula is 191 meV per atom. The space group is No. 8. The formation energy is 11.990 kcal/mol of atoms.

VASP calculation (PBE) on CrOsAu2 after structural relaxation.

Cell: 5.823 5.823 5.823 Å, 101.91 101.91 125.97°
Positions (direct):
Cr1 0.000 0.000 0.000
Cr2 0.750 0.250 0.500
Os1 0.250 0.750 0.500
Os2 0.500 0.500 0.000
Au1 0.128 0.625 0.003
Au2 0.375 0.378 0.503
Au3 0.622 0.125 0.997
Au4 0.875 0.872 0.497

The value obtained for the distance to the lowest polymorph of the same formula is 707 meV per atom. The space group is No. 122. The formation energy is 21.155 kcal/mol of atoms.

VASP calculation (PBE) on Cr2RuRh after structural relaxation.

Cell: 4.243 4.243 4.243 Å, 60.00 60.00 60.00°
Positions (direct):
Cr1 0.000 0.000 0.000
Cr2 0.250 0.250 0.250
Ru1 0.750 0.750 0.750
Rh1 0.500 0.500 0.500

The space group is No. 216. The formation energy is 6.927 kcal/mol of atoms.

VASP calculation (PBE) on MoSe after structural relaxation.

Cell: 6.264 6.264 4.874 Å, 90.00 90.00 90.00°
Positions (direct):
Mo1 0.119 0.119 0.000
Mo2 0.381 0.619 0.500
Mo3 0.619 0.381 0.500
Mo4 0.881 0.881 0.000
Se1 0.214 0.214 0.500
Se2 0.286 0.714 0.000
Se3 0.714 0.286 0.000
Se4 0.786 0.786 0.500

The value obtained for the distance to the lowest polymorph of the same formula is 487 meV per atom. The space group is No. 136. The energy relative to the elements, uncorrected comes out at 0.21 eV/atom.

VASP calculation (PBE) on NiPt2Rh2W after structural relaxation.

Cell: 5.072 5.349 6.619 Å, 90.00 98.11 90.00°
Positions (direct):
Ni1 0.174 0.250 0.136
Ni2 0.826 0.750 0.864
Pt1 0.301 0.502 0.828
Pt2 0.301 0.998 0.828
Pt3 0.699 0.002 0.172
Pt4 0.699 0.498 0.172
Rh1 0.002 0.250 0.497
Rh2 0.498 0.250 0.492
Rh3 0.502 0.750 0.508
Rh4 0.998 0.750 0.503
W1 0.200 0.750 0.172
W2 0.800 0.250 0.828

The space group is No. 11. The formation energy is 0.275 kcal/mol of atoms.